#a
{"formula": "Sn2Hg2O5", "functional": "PBE", "state": "optimized geometry", "lattice": [[8.402, 0.000, 0.000], [0.000, 3.960, 0.000], [0.000, 0.000, 3.960]], "species": ["Hg", "Hg", "O", "O", "O", "O", "O", "Sn", "Sn"], "fractional_positions": [[0.000, 0.000, 0.000], [0.500, 0.000, 0.000], [0.183, 0.500, 0.000], [0.817, 0.500, 0.000], [0.183, 0.000, 0.500], [0.817, 0.000, 0.500], [0.500, 0.500, 0.500], [0.261, 0.500, 0.500], [0.739, 0.500, 0.500]], "crystal_system": "tetragonal", "sg": "P4/mmm"}

=====

#b
{"formula": "Sn2Hg2O5", "functional": "PBE", "state": "optimized geometry", "lattice": [[-1.716, -5.218, 7.881], [2.298, -2.670, -1.267], [2.878, 1.659, 1.725]], "species": ["Hg", "Hg", "O", "O", "O", "O", "O", "Sn", "Sn"], "fractional_positions": [[0.260, 0.500, 0.500], [0.740, 0.500, 0.500], [0.128, 0.500, 0.000], [0.872, 0.500, 0.000], [0.128, 0.000, 0.500], [0.872, 0.000, 0.500], [0.500, 0.500, 0.500], [0.000, 0.000, 0.000], [0.500, 0.000, 0.000]], "crystal_system": "tetragonal", "sg": "P4/mmm"}

=====

Stability summary: most stable #a, least stable #b.

=====

#a
{"formula": "SnHgTeO", "functional": "PBE", "state": "optimized geometry", "lattice": [[-0.774, 4.066, -1.820], [-0.983, -1.958, -3.955], [-9.531, -0.617, 2.674]], "species": ["Hg", "Hg", "O", "O", "Sn", "Sn", "Te", "Te"], "fractional_positions": [[0.750, 0.250, 0.000], [0.250, 0.750, 0.000], [0.250, 0.250, 0.481], [0.750, 0.750, 0.519], [0.750, 0.750, 0.317], [0.250, 0.250, 0.683], [0.250, 0.250, 0.281], [0.750, 0.750, 0.719]], "crystal_system": "tetragonal", "sg": "P4/nmm"}

=====

#b
{"formula": "SnHgTeO", "functional": "PBE", "state": "optimized geometry", "lattice": [[5.919, 0.000, 0.000], [0.000, 5.023, 0.000], [0.000, 0.000, 15.169]], "species": ["Hg", "Hg", "Hg", "Hg", "O", "O", "O", "O", "Sn", "Sn", "Sn", "Sn", "Te", "Te", "Te", "Te"], "fractional_positions": [[0.225, 0.750, 0.064], [0.725, 0.750, 0.436], [0.275, 0.250, 0.564], [0.775, 0.250, 0.936], [0.292, 0.250, 0.208], [0.792, 0.250, 0.292], [0.208, 0.750, 0.708], [0.708, 0.750, 0.792], [0.624, 0.250, 0.176], [0.124, 0.250, 0.324], [0.876, 0.750, 0.676], [0.376, 0.750, 0.824], [0.732, 0.750, 0.074], [0.232, 0.750, 0.426], [0.768, 0.250, 0.574], [0.268, 0.250, 0.926]], "crystal_system": "orthorhombic", "sg": "Pnma"}

=====

#c
{"formula": "SnHgTeO", "functional": "PBE", "state": "optimized geometry", "lattice": [[-6.598, -3.679, 0.957], [-2.876, -5.422, 4.506], [-1.712, 4.053, 3.785]], "species": ["Hg", "Hg", "O", "O", "Sn", "Sn", "Te", "Te"], "fractional_positions": [[0.165, 0.165, 0.453], [0.835, 0.835, 0.953], [0.454, 0.454, 0.073], [0.546, 0.546, 0.573], [0.420, 0.420, 0.413], [0.580, 0.580, 0.913], [0.840, 0.840, 0.454], [0.160, 0.160, 0.954]], "crystal_system": "orthorhombic", "sg": "Cmc2_1"}

=====

Stability summary: most stable #c, least stable #a.

=====

#a
{"formula": "Sr2Hg2O5", "functional": "PBE", "state": "optimized geometry", "lattice": [[10.007, 0.000, 0.000], [0.000, 4.007, 0.000], [0.000, 0.000, 4.007]], "species": ["Hg", "Hg", "O", "O", "O", "O", "O", "Sr", "Sr"], "fractional_positions": [[0.000, 0.000, 0.000], [0.500, 0.000, 0.000], [0.128, 0.500, 0.000], [0.872, 0.500, 0.000], [0.128, 0.000, 0.500], [0.872, 0.000, 0.500], [0.500, 0.500, 0.500], [0.251, 0.500, 0.500], [0.749, 0.500, 0.500]], "crystal_system": "tetragonal", "sg": "P4/mmm"}

=====

#b
{"formula": "Sr2Hg2O5", "functional": "PBE", "state": "optimized geometry", "lattice": [[-3.100, -6.577, 1.998], [3.515, -0.975, 2.242], [-1.697, 1.853, 3.466]], "species": ["Hg", "Hg", "O", "O", "O", "O", "O", "Sr", "Sr"], "fractional_positions": [[0.209, 0.500, 0.500], [0.791, 0.500, 0.500], [0.214, 0.500, 0.000], [0.786, 0.500, 0.000], [0.214, 0.000, 0.500], [0.786, 0.000, 0.500], [0.500, 0.500, 0.500], [0.000, 0.000, 0.000], [0.500, 0.000, 0.000]], "crystal_system": "tetragonal", "sg": "P4/mmm"}

=====

Stability summary: most stable #b, least stable #a.

=====

#a
{"formula": "Ta2Hg2O5", "functional": "PBE", "state": "optimized geometry", "lattice": [[9.960, 0.000, 0.000], [0.000, 3.833, 0.000], [0.000, 0.000, 3.833]], "species": ["Hg", "Hg", "O", "O", "O", "O", "O", "Ta", "Ta"], "fractional_positions": [[0.000, 0.000, 0.000], [0.500, 0.000, 0.000], [0.260, 0.500, 0.000], [0.740, 0.500, 0.000], [0.260, 0.000, 0.500], [0.740, 0.000, 0.500], [0.500, 0.500, 0.500], [0.305, 0.500, 0.500], [0.695, 0.500, 0.500]], "crystal_system": "tetragonal", "total_magnetization_mub_per_cell": 0.01, "sg": "P4/mmm"}

=====

#b
{"formula": "Ta2Hg2O5", "functional": "PBE", "state": "optimized geometry", "lattice": [[9.732, 0.000, 0.000], [0.000, 3.376, 0.000], [0.000, 0.000, 3.376]], "species": ["Hg", "Hg", "O", "O", "O", "O", "O", "Ta", "Ta"], "fractional_positions": [[0.186, 0.500, 0.500], [0.814, 0.500, 0.500], [0.354, 0.500, 0.000], [0.646, 0.500, 0.000], [0.354, 0.000, 0.500], [0.646, 0.000, 0.500], [0.500, 0.500, 0.500], [0.000, 0.000, 0.000], [0.500, 0.000, 0.000]], "crystal_system": "tetragonal", "total_magnetization_mub_per_cell": 1.12, "sg": "P4/mmm"}

=====

Stability summary: most stable #a, least stable #b.

=====

#a
{"formula": "Tb2Hg2O5", "functional": "PBE", "state": "optimized geometry", "lattice": [[-6.282, 6.012, 1.535], [-2.626, -2.158, -2.295], [-1.187, -2.089, 3.324]], "species": ["Hg", "Hg", "O", "O", "O", "O", "O", "Tb", "Tb"], "fractional_positions": [[0.000, 0.000, 0.000], [0.500, 0.000, 0.000], [0.161, 0.500, 0.000], [0.839, 0.500, 0.000], [0.161, 0.000, 0.500], [0.839, 0.000, 0.500], [0.500, 0.500, 0.500], [0.251, 0.500, 0.500], [0.749, 0.500, 0.500]], "crystal_system": "tetragonal", "total_magnetization_mub_per_cell": 1.07, "sg": "P4/mmm"}

=====

#b
{"formula": "Tb2Hg2O5", "functional": "PBE", "state": "optimized geometry", "lattice": [[7.191, 0.000, 0.000], [0.000, 4.296, 0.000], [0.000, 0.000, 4.296]], "species": ["Hg", "Hg", "O", "O", "O", "O", "O", "Tb", "Tb"], "fractional_positions": [[0.193, 0.500, 0.500], [0.807, 0.500, 0.500], [0.211, 0.500, 0.000], [0.789, 0.500, 0.000], [0.211, 0.000, 0.500], [0.789, 0.000, 0.500], [0.500, 0.500, 0.500], [0.000, 0.000, 0.000], [0.500, 0.000, 0.000]], "crystal_system": "tetragonal", "total_magnetization_mub_per_cell": 0.00, "sg": "P4/mmm"}

=====

Stability summary: most stable #a, least stable #b.

=====

#a
{"formula": "TbHgTeO", "functional": "PBE", "state": "optimized geometry", "lattice": [[4.984, 0.000, 0.000], [0.000, 9.167, 0.000], [0.000, 0.000, 5.843]], "species": ["Hg", "Hg", "O", "O", "Tb", "Tb", "Te", "Te"], "fractional_positions": [[0.000, 0.304, 0.141], [0.000, 0.696, 0.641], [0.500, 0.073, 0.181], [0.500, 0.927, 0.681], [0.500, 0.872, 0.023], [0.500, 0.128, 0.523], [0.000, 0.690, 0.146], [0.000, 0.310, 0.646]], "crystal_system": "orthorhombic", "total_magnetization_mub_per_cell": 0.01, "sg": "Pmc2_1"}

=====

#b
{"formula": "TbHgTeO", "functional": "PBE", "state": "optimized geometry", "lattice": [[4.125, 0.000, 0.000], [0.000, 4.125, 0.000], [0.000, 0.000, 10.598]], "species": ["Hg", "Hg", "O", "O", "Tb", "Tb", "Te", "Te"], "fractional_positions": [[0.750, 0.250, 0.500], [0.250, 0.750, 0.500], [0.750, 0.250, 0.000], [0.250, 0.750, 0.000], [0.250, 0.250, 0.096], [0.750, 0.750, 0.904], [0.750, 0.750, 0.262], [0.250, 0.250, 0.738]], "crystal_system": "tetragonal", "total_magnetization_mub_per_cell": 0.04, "sg": "P4/nmm"}

=====

#c
{"formula": "TbHgTeO", "functional": "PBE", "state": "optimized geometry", "lattice": [[7.675, 0.000, -0.894], [0.000, 7.576, 0.000], [-1.559, 0.000, 7.015]], "species": ["Hg", "Hg", "Hg", "Hg", "O", "O", "O", "O", "Tb", "Tb", "Tb", "Tb", "Te", "Te", "Te", "Te"], "fractional_positions": [[0.067, 0.731, 0.013], [0.933, 0.231, 0.487], [0.067, 0.769, 0.513], [0.933, 0.269, 0.987], [0.551, 0.362, 0.135], [0.449, 0.862, 0.365], [0.551, 0.138, 0.635], [0.449, 0.638, 0.865], [0.502, 0.645, 0.180], [0.498, 0.145, 0.320], [0.502, 0.855, 0.680], [0.498, 0.355, 0.820], [0.797, 0.941, 0.152], [0.203, 0.441, 0.348], [0.797, 0.559, 0.652], [0.203, 0.059, 0.848]], "crystal_system": "monoclinic", "total_magnetization_mub_per_cell": 0.00, "sg": "P2_1/c"}

=====

Stability summary: most stable #b, least stable #a.

=====

#a
{"formula": "Hg3TeO6", "functional": "PBE", "state": "optimized geometry", "lattice": [[7.480, -4.559, 7.670], [-10.788, -3.605, 2.487], [2.868, -3.456, -10.742]], "species": ["Hg", "Hg", "Hg", "Hg", "Hg", "Hg", "Hg", "Hg", "Hg", "Hg", "Hg", "Hg", "Hg", "Hg", "Hg", "Hg", "Hg", "Hg", "Hg", "Hg", "Hg", "Hg", "Hg", "Hg", "O", "O", "O", "O", "O", "O", "O", "O", "O", "O", "O", "O", "O", "O", "O", "O", "O", "O", "O", "O", "O", "O", "O", "O", "O", "O", "O", "O", "O", "O", "O", "O", "O", "O", "O", "O", "O", "O", "O", "O", "O", "O", "O", "O", "O", "O", "O", "O", "Te", "Te", "Te", "Te", "Te", "Te", "Te", "Te"], "fractional_positions": [[0.672, 0.336, 0.084], [0.335, 0.172, 0.087], [0.835, 0.748, 0.164], [0.252, 0.836, 0.165], [0.087, 0.335, 0.172], [0.413, 0.584, 0.248], [0.836, 0.165, 0.252], [0.664, 0.916, 0.328], [0.172, 0.087, 0.335], [0.084, 0.672, 0.336], [0.584, 0.248, 0.413], [0.752, 0.587, 0.416], [0.248, 0.413, 0.584], [0.416, 0.752, 0.587], [0.916, 0.328, 0.664], [0.828, 0.913, 0.665], [0.336, 0.084, 0.672], [0.164, 0.835, 0.748], [0.587, 0.416, 0.752], [0.913, 0.665, 0.828], [0.748, 0.164, 0.835], [0.165, 0.252, 0.836], [0.665, 0.828, 0.913], [0.328, 0.664, 0.916], [0.136, 0.155, 0.000], [0.655, 0.137, 0.002], [0.864, 0.363, 0.018], [0.364, 0.364, 0.018], [0.637, 0.982, 0.136], [0.500, 0.654, 0.136], [0.155, 0.000, 0.136], [0.002, 0.655, 0.137], [0.518, 0.155, 0.154], [0.655, 0.518, 0.154], [0.000, 0.136, 0.155], [0.154, 0.518, 0.155], [0.863, 0.998, 0.345], [0.482, 0.846, 0.345], [0.864, 0.500, 0.346], [0.502, 0.364, 0.346], [0.018, 0.864, 0.363], [0.364, 0.018, 0.364], [0.018, 0.364, 0.364], [0.346, 0.502, 0.364], [0.846, 0.345, 0.482], [0.845, 0.846, 0.482], [0.636, 0.654, 0.498], [0.654, 0.136, 0.500], [0.346, 0.864, 0.500], [0.364, 0.346, 0.502], [0.155, 0.154, 0.518], [0.154, 0.655, 0.518], [0.654, 0.498, 0.636], [0.982, 0.636, 0.636], [0.636, 0.982, 0.636], [0.982, 0.136, 0.637], [0.498, 0.636, 0.654], [0.136, 0.500, 0.654], [0.518, 0.154, 0.655], [0.137, 0.002, 0.655], [0.846, 0.482, 0.845], [0.000, 0.864, 0.845], [0.345, 0.482, 0.846], [0.482, 0.845, 0.846], [0.998, 0.345, 0.863], [0.845, 0.000, 0.864], [0.500, 0.346, 0.864], [0.363, 0.018, 0.864], [0.636, 0.636, 0.982], [0.136, 0.637, 0.982], [0.345, 0.863, 0.998], [0.864, 0.845, 0.000], [0.000, 0.000, 0.000], [0.500, 0.000, 0.000], [0.000, 0.500, 0.000], [0.500, 0.500, 0.000], [0.000, 0.000, 0.500], [0.500, 0.000, 0.500], [0.000, 0.500, 0.500], [0.500, 0.500, 0.500]], "crystal_system": "cubic", "sg": "Ia-3"}

=====

#b
{"formula": "Hg3TeO6", "functional": "PBE", "state": "optimized geometry", "lattice": [[-6.777, 6.777, 6.777], [6.777, -6.777, 6.777], [6.777, 6.777, -6.777]], "species": ["Hg", "Hg", "Hg", "Hg", "Hg", "Hg", "Hg", "Hg", "Hg", "Hg", "Hg", "Hg", "Hg", "Hg", "Hg", "Hg", "Hg", "Hg", "Hg", "Hg", "Hg", "Hg", "Hg", "Hg", "O", "O", "O", "O", "O", "O", "O", "O", "O", "O", "O", "O", "O", "O", "O", "O", "O", "O", "O", "O", "O", "O", "O", "O", "O", "O", "O", "O", "O", "O", "O", "O", "O", "O", "O", "O", "O", "O", "O", "O", "O", "O", "O", "O", "O", "O", "O", "O", "Te", "Te", "Te", "Te", "Te", "Te", "Te", "Te"], "fractional_positions": [[0.403, 0.250, 0.097], [0.194, 0.847, 0.097], [0.750, 0.347, 0.153], [0.903, 0.806, 0.153], [0.847, 0.097, 0.194], [0.097, 0.403, 0.250], [0.653, 0.847, 0.250], [0.403, 0.653, 0.306], [0.153, 0.750, 0.347], [0.694, 0.597, 0.347], [0.250, 0.097, 0.403], [0.653, 0.306, 0.403], [0.347, 0.694, 0.597], [0.750, 0.903, 0.597], [0.847, 0.250, 0.653], [0.306, 0.403, 0.653], [0.597, 0.347, 0.694], [0.347, 0.153, 0.750], [0.903, 0.597, 0.750], [0.153, 0.903, 0.806], [0.097, 0.194, 0.847], [0.250, 0.653, 0.847], [0.806, 0.153, 0.903], [0.597, 0.750, 0.903], [0.153, 0.141, 0.006], [0.352, 0.864, 0.006], [0.859, 0.364, 0.012], [0.653, 0.648, 0.012], [0.641, 0.488, 0.136], [0.994, 0.648, 0.136], [0.006, 0.153, 0.141], [0.636, 0.988, 0.141], [0.153, 0.512, 0.148], [0.494, 0.636, 0.148], [0.512, 0.148, 0.153], [0.141, 0.006, 0.153], [0.352, 0.988, 0.347], [0.494, 0.359, 0.347], [0.864, 0.006, 0.352], [0.988, 0.347, 0.352], [0.347, 0.494, 0.359], [0.512, 0.864, 0.359], [0.852, 0.506, 0.364], [0.012, 0.859, 0.364], [0.136, 0.641, 0.488], [0.852, 0.847, 0.488], [0.636, 0.148, 0.494], [0.359, 0.347, 0.494], [0.641, 0.653, 0.506], [0.364, 0.852, 0.506], [0.148, 0.153, 0.512], [0.864, 0.359, 0.512], [0.988, 0.141, 0.636], [0.148, 0.494, 0.636], [0.488, 0.136, 0.641], [0.653, 0.506, 0.641], [0.012, 0.653, 0.648], [0.136, 0.994, 0.648], [0.506, 0.641, 0.653], [0.648, 0.012, 0.653], [0.859, 0.994, 0.847], [0.488, 0.852, 0.847], [0.506, 0.364, 0.852], [0.847, 0.488, 0.852], [0.364, 0.012, 0.859], [0.994, 0.847, 0.859], [0.006, 0.352, 0.864], [0.359, 0.512, 0.864], [0.347, 0.352, 0.988], [0.141, 0.636, 0.988], [0.648, 0.136, 0.994], [0.847, 0.859, 0.994], [0.000, 0.000, 0.000], [0.500, 0.000, 0.000], [0.000, 0.500, 0.000], [0.500, 0.500, 0.000], [0.000, 0.000, 0.500], [0.500, 0.000, 0.500], [0.000, 0.500, 0.500], [0.500, 0.500, 0.500]], "crystal_system": "cubic", "sg": "Ia-3d"}

=====

Stability summary: most stable #a, least stable #b.